[1]
11
Lattice="4.1328 0.0000 0.0000 0.0000 4.1328 0.0000 0.0000 0.0000 10.9252" Properties=species:S:1:pos:R:3 comment="Er2Ga8Fe meta-GGA SCAN PBEsol geometry" delta_e_f_kj_per_mol_fu=-519.4 magnetic_moment_mub_per_fu=0.00 dos_at_fermi_per_ev_cell=3.6 density_g_cm3=8.4 space_group="P4/mmm, No. 123" energy_ev_per_atom=-23.18 crystal_system=tetragonal pbc="T T T"
Er 0.0000 0.0000 2.1162
Er 0.0000 0.0000 8.8090
Ga 0.0000 2.0664 0.0000
Ga 0.0000 2.0664 4.1890
Ga 0.0000 2.0664 6.7363
Ga 2.0664 0.0000 0.0000
Ga 2.0664 0.0000 4.1890
Ga 2.0664 0.0000 6.7363
Ga 2.0664 2.0664 2.1240
Ga 2.0664 2.0664 8.8013
Fe 0.0000 0.0000 5.4626

=====

[2]
14
Lattice="2.0047 -5.1285 0.0000 2.0047 5.1285 0.0000 0.0000 0.0000 13.1920" Properties=species:S:1:pos:R:3 comment="Er3FeGe3 meta-GGA SCAN PBEsol geometry" delta_e_f_kj_per_mol_fu=-501.1 magnetic_moment_mub_per_fu=2.33 dos_at_fermi_per_ev_cell=8.6 density_g_cm3=9.5 space_group="Cmcm, No. 63" energy_ev_per_atom=-33.09 crystal_system=orthorhombic pbc="T T T"
Er 2.0047 5.1053 9.8940
Er 2.0047 2.1951 7.9212
Er 2.0047 2.1951 11.8668
Er 2.0047 -2.1951 1.3252
Er 2.0047 -2.1951 5.2708
Er 2.0047 -5.1053 3.2980
Fe 0.0000 0.0000 0.0000
Fe 0.0000 0.0000 6.5960
Ge 2.0047 2.2975 3.2980
Ge 2.0047 0.7112 1.1985
Ge 2.0047 0.7112 5.3975
Ge 2.0047 -0.7112 7.7945
Ge 2.0047 -0.7112 11.9935
Ge 2.0047 -2.2975 9.8940

=====

[3]
44
Lattice="8.2671 0.0000 0.0000 -4.1335 7.1595 0.0000 0.0000 0.0000 7.9628" Properties=species:S:1:pos:R:3 comment="Er2Fe17H3 meta-GGA SCAN PBEsol geometry" magnetic_moment_mub_per_fu=40.06 dos_at_fermi_per_ev_cell=26.2 density_g_cm3=9.1 space_group="P6_3/mmc, No. 194" energy_ev_per_atom=-19.09 crystal_system=hexagonal pbc="T T T"
Er 0.0000 0.0000 1.9907
Er 0.0000 0.0000 5.9721
Er 0.0000 4.7730 1.9907
Er 4.1335 2.3865 5.9721
Fe -2.0668 3.5797 0.0000
Fe -2.0668 3.5797 3.9814
Fe -1.1484 2.7061 5.9721
Fe -2.3642 4.8119 5.9721
Fe 0.0000 2.3826 0.1219
Fe 0.0000 2.3826 3.8595
Fe -2.0701 5.9682 0.1219
Fe -2.0701 5.9682 3.8595
Fe 1.1484 2.7061 5.9721
Fe -1.2158 6.8010 5.9721
Fe 2.0634 1.1913 4.1033
Fe 2.0634 1.1913 7.8409
Fe 0.0000 4.7730 4.8270
Fe 0.0000 4.7730 7.1171
Fe 2.9178 0.3585 1.9907
Fe 1.7693 2.3476 1.9907
Fe 4.1335 0.0000 0.0000
Fe 4.1335 0.0000 3.9814
Fe 2.0668 3.5797 0.0000
Fe 2.0668 3.5797 3.9814
Fe 2.3642 4.8119 5.9721
Fe 1.2157 6.8010 5.9721
Fe 4.1335 2.3865 0.8456
Fe 4.1335 2.3865 3.1357
Fe 2.0701 5.9682 0.1219
Fe 2.0701 5.9682 3.8595
Fe 5.3493 0.3585 1.9907
Fe 2.9851 4.4534 1.9907
Fe 6.2036 1.1913 4.1033
Fe 6.2036 1.1913 7.8409
Fe 4.1335 4.7768 4.1033
Fe 4.1335 4.7768 7.8409
Fe 6.4977 2.3476 1.9907
Fe 5.2820 4.4534 1.9907
H 0.0000 2.3609 1.9907
H -2.0889 5.9790 1.9907
H 2.0446 1.1805 5.9721
H 2.0889 5.9790 1.9907
H 6.2224 1.1805 5.9721
H 4.1335 4.7985 5.9721